VASP calculation (PBE-GGA) on ReRuC2 after structural relaxation.

Lattice parameters (Å, degrees): 2.9328 5.5422 4.9660 90.00 90.00 90.00
With the nearest neighbours (Å) after each atom.
Space group Imm2 (No. 44)
Inequivalent atoms, fractional coordinates:
1 Re 0.0000 0.0000 0.0000  6 C 2.16-2.18
2 Ru 0.0000 0.5000 0.0006  6 C 2.13-2.21
3 C 0.0000 0.2567 0.3326  3 Ru 2.13-2.21, 3 Re 2.16-2.18

Computed properties:
**Size of the total moment**: 0.00 μB per formula unit
**Formation energy from the elements**: 425 meV/atom
**Total DFT energy (no corrections)**: -9.62 eV/atom